CuAg2MoOs PBE-GGA relaxed; formation enthalpy at 0 K = 1.6489 eV/atom; energy above the most stable polymorph in this dataset = 0 meV/atom; density = 7.823 g/cm³; raw total energy = -0.347 Ry per atom
1.0
5.098 0.000 0.000
0.000 4.618 0.000
0.000 0.000 5.098
Mo Os Cu Ag
1 1 1 2
Direct
0.000 0.500 0.000 Mo
0.000 0.000 0.000 Os
0.500 0.500 0.500 Cu
0.000 0.000 0.500 Ag
0.500 0.000 0.000 Ag